one) NiPd6Au3: optimized geometry, PBE.

Results
N(E_F) in states/eV/cell: 10.83
Size of the total moment in μB/atom: 0.12
Theoretical density in Mg/m³: 12.89
SG: P-31m (162)
V in A^3/atom: 16.6

Cell: 5.1792 5.1792 7.1418 Å, 90.00 90.00 120.00°
Last column: nearest neighbours and their distance in Å.
Fractional coordinates of all 10 atoms:
Ni: 0.0000 0.0000 0.0000  6 Pd 2.41
Pd: 0.0000 0.3948 0.8227  1 Ni 2.41
Pd: 0.0000 0.6052 0.1773  1 Ni 2.41
Pd: 0.3948 0.0000 0.8227  1 Ni 2.41
Pd: 0.3948 0.3948 0.1773  1 Ni 2.41
Pd: 0.6052 0.0000 0.1773  1 Ni 2.41
Pd: 0.6052 0.6052 0.8227  1 Ni 2.41
Au: 0.0000 0.0000 0.5000  6 Au 2.99, 6 Pd 3.08
Au: 0.3333 0.6667 0.5000  6 Pd 2.80, 6 Au 2.99
Au: 0.6667 0.3333 0.5000  6 Pd 2.80, 6 Au 2.99

two) NiPd6Au3: optimized geometry, PBE.

Results
N(E_F) in states/eV/cell: 29.46
Size of the total moment in μB/atom: 0.20
Theoretical density in Mg/m³: 13.42
SG: P2_1/m (11)
V in A^3/atom: 15.9

Cell: 7.4496 4.6567 9.8063 Å, 90.00 110.43 90.00°
Last column: nearest neighbours and their distance in Å.
Fractional coordinates of all 20 atoms:
Ni: 0.1049 0.2500 0.0695  8 Pd 2.67-2.76, 2 Au 2.84-2.86, 2 Ni 2.87
Ni: 0.8951 0.7500 0.9305  8 Pd 2.67-2.76, 2 Au 2.84-2.86, 2 Ni 2.87
Pd: 0.0881 0.7500 0.2163  3 Ni 2.67-2.76, 5 Pd 2.67-2.93, 4 Au 2.81-2.90
Pd: 0.1054 0.2500 0.5697  5 Pd 2.80-2.93, 7 Au 2.82-2.84
Pd: 0.2780 0.7500 0.0300  4 Pd 2.67-2.87, 3 Ni 2.67-2.75, 4 Au 2.76-2.86
Pd: 0.2961 0.2500 0.3596  1 Ni 2.70, 4 Au 2.75-2.84, 7 Pd 2.75-2.90
Pd: 0.4910 0.2500 0.1677  1 Ni 2.70, 5 Au 2.73-2.88, 6 Pd 2.75-3.01
Pd: 0.4933 0.7500 0.3302  4 Au 2.79-2.88, 8 Pd 2.80-2.90
Pd: 0.5067 0.2500 0.6698  4 Au 2.79-2.88, 8 Pd 2.80-2.90
Pd: 0.5090 0.7500 0.8323  1 Ni 2.70, 5 Au 2.73-2.88, 6 Pd 2.75-3.01
Pd: 0.7039 0.7500 0.6404  1 Ni 2.70, 4 Au 2.75-2.84, 7 Pd 2.75-2.90
Pd: 0.7220 0.2500 0.9700  4 Pd 2.67-2.87, 3 Ni 2.67-2.75, 4 Au 2.76-2.86
Pd: 0.8946 0.7500 0.4303  5 Pd 2.80-2.93, 7 Au 2.82-2.84
Pd: 0.9119 0.2500 0.7837  3 Ni 2.67-2.76, 5 Pd 2.67-2.93, 4 Au 2.81-2.90
Au: 0.0968 0.7500 0.7323  8 Pd 2.75-2.88, 1 Ni 2.84, 3 Au 2.89-2.90
Au: 0.2986 0.7500 0.5268  11 Pd 2.79-2.90, 1 Au 2.90
Au: 0.3131 0.2500 0.8730  9 Pd 2.73-2.86, 1 Ni 2.86, 2 Au 2.89
Au: 0.6869 0.7500 0.1270  9 Pd 2.73-2.86, 1 Ni 2.86, 2 Au 2.89
Au: 0.7014 0.2500 0.4732  11 Pd 2.79-2.90, 1 Au 2.90
Au: 0.9032 0.2500 0.2677  8 Pd 2.75-2.88, 1 Ni 2.84, 3 Au 2.89-2.90

Relative energy of each structure, in kJ/mol of atoms: one) 14.1; two) 0.0.

one) NiPd8Au6: optimized geometry, PBE.

Results
N(E_F) in states/eV/cell: 24.62
Size of the total moment in μB/atom: 0.09
Theoretical density in Mg/m³: 12.99
SG: R-3 (148)
V in A^3/atom: 17.8

Cell: 7.0102 7.0102 7.0102 Å, 64.47 64.47 64.47°
Last column: nearest neighbours and their distance in Å.
Fractional coordinates of all 15 atoms:
Ni: 0.0000 0.0000 0.0000  6 Au 2.67
Pd: 0.1360 0.8335 0.4175  5 Pd 2.65-2.92, 3 Au 2.65-2.84
Pd: 0.1665 0.5825 0.8640  5 Pd 2.65-2.92, 3 Au 2.65-2.84
Pd: 0.2458 0.2458 0.2458  3 Au 2.75, 6 Pd 2.78-2.92
Pd: 0.4175 0.1360 0.8335  5 Pd 2.65-2.92, 3 Au 2.65-2.84
Pd: 0.5825 0.8640 0.1665  5 Pd 2.65-2.92, 3 Au 2.65-2.84
Pd: 0.7542 0.7542 0.7542  3 Au 2.75, 6 Pd 2.78-2.92
Pd: 0.8335 0.4175 0.1360  5 Pd 2.65-2.92, 3 Au 2.65-2.84
Pd: 0.8640 0.1665 0.5825  5 Pd 2.65-2.92, 3 Au 2.65-2.84
Au: 0.0722 0.3691 0.6784  4 Pd 2.65-2.84, 1 Ni 2.67, 3 Au 2.70-2.91
Au: 0.3216 0.9278 0.6309  4 Pd 2.65-2.84, 1 Ni 2.67, 3 Au 2.70-2.91
Au: 0.3691 0.6784 0.0722  4 Pd 2.65-2.84, 1 Ni 2.67, 3 Au 2.70-2.91
Au: 0.6309 0.3216 0.9278  4 Pd 2.65-2.84, 1 Ni 2.67, 3 Au 2.70-2.91
Au: 0.6784 0.0722 0.3691  4 Pd 2.65-2.84, 1 Ni 2.67, 3 Au 2.70-2.91
Au: 0.9278 0.6309 0.3216  4 Pd 2.65-2.84, 1 Ni 2.67, 3 Au 2.70-2.91

two) NiPd8Au6: optimized geometry, PBE.

Results
N(E_F) in states/eV/cell: 13.61
Size of the total moment in μB/atom: 0.16
Theoretical density in Mg/m³: 13.73
SG: P-3 (147)
V in A^3/atom: 16.9

Cell: 7.6340 7.6340 5.0133 Å, 90.00 90.00 120.00°
Last column: nearest neighbours and their distance in Å.
Fractional coordinates of all 15 atoms:
Ni: 0.0000 0.0000 0.0000  6 Pd 2.39
Pd: 0.0515 0.2676 0.2951  1 Ni 2.39
Pd: 0.2161 0.9485 0.2951  1 Ni 2.39
Pd: 0.2676 0.2161 0.7049  1 Ni 2.39
Pd: 0.3333 0.6667 0.2811  3 Pd 2.71, 9 Au 2.95-3.03
Pd: 0.6667 0.3333 0.7189  3 Pd 2.71, 9 Au 2.95-3.03
Pd: 0.7324 0.7839 0.2951  1 Ni 2.39
Pd: 0.7839 0.0515 0.7049  1 Ni 2.39
Pd: 0.9485 0.7324 0.7049  1 Ni 2.39
Au: 0.0991 0.4643 0.7832  8 Pd 2.80-3.03, 3 Au 2.85-2.91
Au: 0.3652 0.9009 0.7832  8 Pd 2.80-3.03, 3 Au 2.85-2.91
Au: 0.4643 0.3652 0.2168  8 Pd 2.80-3.03, 3 Au 2.85-2.91
Au: 0.5357 0.6348 0.7832  8 Pd 2.80-3.03, 3 Au 2.85-2.91
Au: 0.6348 0.0991 0.2168  8 Pd 2.80-3.03, 3 Au 2.85-2.91
Au: 0.9009 0.5357 0.2168  8 Pd 2.80-3.03, 3 Au 2.85-2.91

Relative energy of each structure, in kJ/mol of atoms: one) 6.9; two) 0.0.

one) NiPd4Au2: optimized geometry, PBE.

Results
N(E_F) in states/eV/cell: 9.66
Size of the total moment in μB/atom: 0.17
Theoretical density in Mg/m³: 10.59
SG: I4/mmm (139)
V in A^3/atom: 19.7

Cell: 7.3796 7.3796 7.3796 Å, 144.06 144.06 51.74°
Last column: nearest neighbours and their distance in Å.
Fractional coordinates of all 7 atoms:
Ni: 0.0000 0.0000 0.0000  6 Pd 2.28-2.38
Pd: 0.0000 0.5000 0.5000  2 Ni 2.28
Pd: 0.1789 0.1789 0.0000  1 Ni 2.38
Pd: 0.5000 0.0000 0.5000  2 Ni 2.28
Pd: 0.8211 0.8211 0.0000  1 Ni 2.38
Au: 0.3797 0.3797 0.0000  5 Pd 2.67-2.78
Au: 0.6203 0.6203 0.0000  5 Pd 2.67-2.78

two) NiPd4Au2: optimized geometry, PBE.

Results
N(E_F) in states/eV/cell: 7.04
Size of the total moment in μB/atom: 0.24
Theoretical density in Mg/m³: 13.17
SG: Cmmm (65)
V in A^3/atom: 15.8

Cell: 14.1815 14.1815 2.7958 Å, 90.00 90.00 168.64°
Last column: nearest neighbours and their distance in Å.
Fractional coordinates of all 7 atoms:
Ni: 0.0000 0.0000 0.0000  8 Pd 2.61, 4 Ni 2.80-2.81
Pd: 0.1312 0.8688 0.0000  8 Pd 2.80-2.82, 4 Au 2.89
Pd: 0.4400 0.5600 0.5000  4 Ni 2.61, 8 Pd 2.80-2.82
Pd: 0.5600 0.4400 0.5000  4 Ni 2.61, 8 Pd 2.80-2.82
Pd: 0.8688 0.1312 0.0000  8 Pd 2.80-2.82, 4 Au 2.89
Au: 0.2943 0.7057 0.5000  6 Au 2.80-2.87, 4 Pd 2.89
Au: 0.7057 0.2943 0.5000  6 Au 2.80-2.87, 4 Pd 2.89

Relative energy of each structure, in kJ/mol of atoms: one) 61.2; two) 0.0.

one) PmNi2Au: optimized geometry, PBE.

Results
N(E_F) in states/eV/cell: 1.63
Size of the total moment in μB/atom: 0.00
Theoretical density in Mg/m³: 11.20
SG: P4/mmm (123)
V in A^3/atom: 17.0

Cell: 4.2378 4.2378 3.7920 Å, 90.00 90.00 90.00°
Last column: nearest neighbours and their distance in Å.
Fractional coordinates of all 4 atoms:
Pm: 0.0000 0.0000 0.0000  8 Ni 2.84, 4 Au 3.00
Ni: 0.0000 0.5000 0.5000  4 Pm 2.84, 4 Au 2.84, 4 Ni 3.00
Ni: 0.5000 0.0000 0.5000  4 Pm 2.84, 4 Au 2.84, 4 Ni 3.00
Au: 0.5000 0.5000 0.0000  8 Ni 2.84, 4 Pm 3.00

two) PmNi2Au: optimized geometry, PBE.

Results
N(E_F) in states/eV/cell: 1.62
Size of the total moment in μB/atom: 0.00
Theoretical density in Mg/m³: 10.27
SG: R-3m (166)
V in A^3/atom: 18.6

Cell: 5.1635 5.1635 5.1635 Å, 49.97 49.97 49.97°
Last column: nearest neighbours and their distance in Å.
Fractional coordinates of all 4 atoms:
Pm: 0.0000 0.0000 0.0000  2 Ni 2.69
Ni: 0.1990 0.1990 0.1990  3 Au 2.56, 3 Ni 2.67, 1 Pm 2.69
Ni: 0.8010 0.8010 0.8010  3 Au 2.56, 3 Ni 2.67, 1 Pm 2.69
Au: 0.5000 0.5000 0.5000  6 Ni 2.56

Relative energy of each structure, in kJ/mol of atoms: one) 9.0; two) 0.0.

one) PmThNiAu: optimized geometry, PBE.

Results
N(E_F) in states/eV/cell: 2.83
Size of the total moment in μB/atom: 0.00
Theoretical density in Mg/m³: 10.79
SG: Amm2 (38)
V in A^3/atom: 24.3

Cell: 4.2784 6.1699 6.1699 Å, 36.71 90.00 90.00°
Last column: nearest neighbours and their distance in Å.
Fractional coordinates of all 4 atoms:
Pm: 0.0000 0.0000 0.0000  1 Ni 2.97, 4 Au 3.01
Th: 0.5000 0.7225 0.7225  4 Ni 2.91, 2 Au 3.09
Ni: 0.0000 0.2534 0.2534  4 Th 2.91, 2 Au 2.96, 1 Pm 2.97
Au: 0.5000 0.4276 0.4276  2 Ni 2.96, 4 Pm 3.01, 2 Th 3.09

two) PmThNiAu: optimized geometry, PBE.

Results
N(E_F) in states/eV/cell: 3.98
Size of the total moment in μB/atom: 0.00
Theoretical density in Mg/m³: 11.12
SG: F-43m (216)
V in A^3/atom: 23.6

Cell: 5.1126 5.1126 5.1126 Å, 60.00 60.00 60.00°
Last column: nearest neighbours and their distance in Å.
Fractional coordinates of all 4 atoms:
Pm: 0.0000 0.0000 0.0000  4 Au 3.13, 4 Ni 3.13
Th: 0.5000 0.5000 0.5000  4 Au 3.13, 4 Ni 3.13
Ni: 0.2500 0.2500 0.2500  4 Th 3.13, 4 Pm 3.13
Au: 0.7500 0.7500 0.7500  4 Th 3.13, 4 Pm 3.13

Relative energy of each structure, in kJ/mol of atoms: one) 0.0; two) 13.8.